No. 1
{"formula": "HfTiPd4", "functional": "PBE", "state": "optimized geometry", "delta_e_f_ev_per_fu": -4.24, "polymorph_energy_mev_per_atom": 7, "sg": "C2/m", "cell": [[4.757, 0.000, -0.043], [0.000, 8.714, 0.000], [-0.377, 0.000, 4.737]], "species": ["Hf", "Hf", "Ti", "Ti", "Pd", "Pd", "Pd", "Pd", "Pd", "Pd", "Pd", "Pd"], "frac_coords": [[0.500, 0.000, 0.500], [0.000, 0.500, 0.500], [0.000, 0.000, 0.000], [0.500, 0.500, 0.000], [0.000, 0.661, 0.000], [0.500, 0.161, 0.000], [0.500, 0.341, 0.500], [0.000, 0.841, 0.500], [0.000, 0.339, 0.000], [0.500, 0.839, 0.000], [0.500, 0.659, 0.500], [0.000, 0.159, 0.500]]}

=====

No. 2
{"formula": "LaRhPb5", "functional": "PBE", "state": "optimized geometry", "delta_e_f_ev_per_fu": -1.80, "sg": "P4/mmm", "cell": [[-1.150, 4.524, -1.594], [-3.390, -1.926, -3.021], [-5.535, 0.637, 5.804]], "species": ["La", "Rh", "Pb", "Pb", "Pb", "Pb", "Pb"], "frac_coords": [[0.000, 0.000, 0.000], [0.000, 0.000, 0.500], [0.500, 0.000, 0.697], [0.000, 0.500, 0.697], [0.500, 0.500, 0.000], [0.000, 0.500, 0.303], [0.500, 0.000, 0.303]]}